(1)
## LiTbAg (GGA-PBE)

Data for a relaxed LiTbAg crystal.

Calculated values
The energy relative to the elements comes out at -0.13 eV/atom. The energy above the most stable polymorph in this dataset is 0.061 eV/atom.

Cell and atoms, written as CIF:
```
data_LiTbAg
_cell_length_a 4.666
_cell_length_b 4.666
_cell_length_c 3.511
_cell_angle_alpha 90.00
_cell_angle_beta 90.00
_cell_angle_gamma 120.00
_symmetry_space_group_name_H-M 'P 1'
_symmetry_Int_Tables_number 1
_symmetry_space_group_name_Hall 'P 1'
loop_
_atom_site_label
_atom_site_type_symbol
_atom_site_fract_x
_atom_site_fract_y
_atom_site_fract_z
Li1 Li 0.000 0.000 0.000
Tb1 Tb 0.667 0.333 0.500
Ag1 Ag 0.333 0.667 0.000
```

***

(2)
## Ti2V2Zn (GGA-PBE)

Data for a relaxed Ti2V2Zn crystal.

Calculated values
The energy relative to the elements comes out at 0.11 eV/atom. The energy above the most stable polymorph in this dataset is 0.018 eV/atom.

Cell and atoms, written as CIF:
```
data_Ti2V2Zn
_cell_length_a 7.157
_cell_length_b 7.157
_cell_length_c 4.781
_cell_angle_alpha 100.83
_cell_angle_beta 100.83
_cell_angle_gamma 39.92
_symmetry_space_group_name_H-M 'P 1'
_symmetry_Int_Tables_number 1
_symmetry_space_group_name_Hall 'P 1'
loop_
_atom_site_label
_atom_site_type_symbol
_atom_site_fract_x
_atom_site_fract_y
_atom_site_fract_z
Ti1 Ti 0.033 0.742 0.683
Ti2 Ti 0.258 0.967 0.817
Ti3 Ti 0.742 0.033 0.183
Ti4 Ti 0.967 0.258 0.317
V1 V 0.201 0.386 0.132
V2 V 0.386 0.201 0.632
V3 V 0.614 0.799 0.368
V4 V 0.799 0.614 0.868
Zn1 Zn 0.339 0.661 0.250
Zn2 Zn 0.661 0.339 0.750
```

***

(3)
## Ta2CoW2 (GGA-PBE)

Data for a relaxed Ta2CoW2 crystal.

Calculated values
The energy relative to the elements comes out at 1.30 eV/atom. The energy above the most stable polymorph in this dataset is 0.806 eV/atom.

Cell and atoms, written as CIF:
```
data_Ta2CoW2
_cell_length_a 7.241
_cell_length_b 7.241
_cell_length_c 7.241
_cell_angle_alpha 150.83
_cell_angle_beta 150.83
_cell_angle_gamma 41.72
_symmetry_space_group_name_H-M 'P 1'
_symmetry_Int_Tables_number 1
_symmetry_space_group_name_Hall 'P 1'
loop_
_atom_site_label
_atom_site_type_symbol
_atom_site_fract_x
_atom_site_fract_y
_atom_site_fract_z
Ta1 Ta 0.250 0.750 0.500
Ta2 Ta 0.750 0.250 0.500
Co1 Co 0.000 0.000 0.000
W1 W 0.413 0.413 0.000
W2 W 0.587 0.587 0.000
```

***

(4)
## SiPb2Se (GGA-PBE)

Data for a relaxed SiPb2Se crystal.

Calculated values
Its formation energy from raw total energies is 1.2 eV/f.u. The energy above the most stable polymorph in this dataset is 0.241 eV/atom.

Cell and atoms, written as CIF:
```
data_SiPb2Se
_cell_length_a 3.829
_cell_length_b 4.936
_cell_length_c 5.445
_cell_angle_alpha 90.00
_cell_angle_beta 90.00
_cell_angle_gamma 90.00
_symmetry_space_group_name_H-M 'P 1'
_symmetry_Int_Tables_number 1
_symmetry_space_group_name_Hall 'P 1'
loop_
_atom_site_label
_atom_site_type_symbol
_atom_site_fract_x
_atom_site_fract_y
_atom_site_fract_z
Si1 Si 0.000 0.000 0.000
Pb1 Pb 0.000 0.500 0.500
Pb2 Pb 0.500 0.500 0.000
Se1 Se 0.500 0.000 0.500
```

***

(5)
## Er2Th3Sc (GGA-PBE)

Data for a relaxed Er2Th3Sc crystal.

Calculated values
The energy relative to the elements comes out at 0.04 eV/atom. The energy above the most stable polymorph in this dataset is 0.000 eV/atom.

Cell and atoms, written as CIF:
```
data_Er2Th3Sc
_cell_length_a 9.795
_cell_length_b 3.537
_cell_length_c 10.539
_cell_angle_alpha 90.00
_cell_angle_beta 91.12
_cell_angle_gamma 90.00
_symmetry_space_group_name_H-M 'P 1'
_symmetry_Int_Tables_number 1
_symmetry_space_group_name_Hall 'P 1'
loop_
_atom_site_label
_atom_site_type_symbol
_atom_site_fract_x
_atom_site_fract_y
_atom_site_fract_z
Er1 Er 0.124 0.250 0.089
Er2 Er 0.367 0.750 0.584
Er3 Er 0.633 0.250 0.416
Er4 Er 0.876 0.750 0.911
Th1 Th 0.118 0.250 0.413
Th2 Th 0.371 0.750 0.917
Th3 Th 0.376 0.750 0.248
Th4 Th 0.624 0.250 0.752
Th5 Th 0.629 0.250 0.083
Th6 Th 0.882 0.750 0.587
Sc1 Sc 0.125 0.250 0.747
Sc2 Sc 0.875 0.750 0.253
```

***

(6)
## Ag2TeAs2 (GGA-PBE)

Data for a relaxed Ag2TeAs2 crystal.

Calculated values
Its formation energy from raw total energies is 1.5 eV/f.u. The energy above the most stable polymorph in this dataset is 0.078 eV/atom.

Cell and atoms, written as CIF:
```
data_Ag2TeAs2
_cell_length_a 6.189
_cell_length_b 6.189
_cell_length_c 6.189
_cell_angle_alpha 136.01
_cell_angle_beta 136.01
_cell_angle_gamma 63.96
_symmetry_space_group_name_H-M 'P 1'
_symmetry_Int_Tables_number 1
_symmetry_space_group_name_Hall 'P 1'
loop_
_atom_site_label
_atom_site_type_symbol
_atom_site_fract_x
_atom_site_fract_y
_atom_site_fract_z
Ag1 Ag 0.250 0.750 0.500
Ag2 Ag 0.750 0.250 0.500
Te1 Te 0.000 0.000 0.000
As1 As 0.384 0.384 0.000
As2 As 0.616 0.616 0.000
```

***

Total energy list, top to bottom, in eV/atom: -3.26; -6.95; -10.04; -3.79; -6.25; -3.32
Total magnetic moment list, top to bottom, in μB per formula unit: 0.0; 0.0; 0.0; 0.0; 0.0; 0.0